Entry 1:
# ThSbAs2Ru5

A geometry-optimized ThSbAs2Ru5 structure (PBE, the Alexandria database).

Lattice parameters (Å, degrees): 4.0283 4.0283 10.9478 90.00 90.00 90.00
Space group P4/mmm (No. 123)
Unique sites:
Th (0.0000, 0.0000, 0.0000) [1 per cell]
Sb (0.0000, 0.0000, 0.5000) [1 per cell]
As (0.5000, 0.5000, 0.2204) [2 per cell]
Ru (0.0000, 0.5000, 0.3425) [4 per cell]
Ru (0.5000, 0.5000, 0.0000) [1 per cell]

ΔE_f (raw): -0.109 eV per atom

Entry 2:
# HfZrSc2N4

A geometry-optimized HfZrSc2N4 structure (PBE, the Alexandria database).

Lattice parameters (Å, degrees): 5.5696 3.2128 5.5734 90.00 109.46 90.00
Space group P2/m (No. 10)
Unique sites:
Hf (0.0000, 0.0000, 0.0000) [1 per cell]
Zr (0.5000, 0.5000, 0.0000) [1 per cell]
Sc (0.0000, 0.5000, 0.5000) [1 per cell]
Sc (0.5000, 0.0000, 0.5000) [1 per cell]
N (0.2451, 0.0000, 0.7501) [2 per cell]
N (0.2450, 0.5000, 0.2465) [2 per cell]

ΔE_f (raw): -1.870 eV per atom

Entry 3:
# YHRh3

A geometry-optimized YHRh3 structure (PBE, the Alexandria database).

Lattice parameters (Å, degrees): 11.7375 10.4097 5.0035 90.00 106.34 90.00
Space group C2/c (No. 15)
Unique sites:
Y (0.0000, 0.1169, 0.2500) [4 per cell]
Y (0.0000, 0.3266, 0.7500) [4 per cell]
H (0.1181, 0.2926, 0.2121) [8 per cell]
Rh (0.1258, 0.4458, 0.3416) [8 per cell]
Rh (0.1714, 0.0624, 0.7846) [8 per cell]
Rh (0.2447, 0.1943, 0.2402) [8 per cell]

Energy relative to the lowest polymorph listed for this composition: 0.2218 eV/atom

Entry 4:
# In2MoPt2

A geometry-optimized In2MoPt2 structure (PBE, the Alexandria database).

Lattice parameters (Å, degrees): 7.1299 7.1299 3.7205 90.00 90.00 90.00
Space group P4/mbm (No. 127)
Unique sites:
In (0.1694, 0.3306, 0.0000) [4 per cell]
Mo (0.0000, 0.0000, 0.5000) [2 per cell]
Pt (0.1341, 0.6341, 0.5000) [4 per cell]

Formation energy from the elements: 0.03 eV/atom

Entry 5:
# ZrSnTe

A geometry-optimized ZrSnTe structure (PBE, the Alexandria database).

Lattice parameters (Å, degrees): 4.1111 4.1111 17.6011 90.00 90.00 90.00
Space group I4/mmm (No. 139)
Unique sites:
Zr (0.0000, 0.0000, 0.1332) [4 per cell]
Sn (0.0000, 0.5000, 0.0000) [4 per cell]
Te (0.0000, 0.0000, 0.3083) [4 per cell]

ΔE_f (raw): -0.599 eV per atom

Entry 6:
# PrNd7Dy2

A geometry-optimized PrNd7Dy2 structure (PBE, the Alexandria database).

Lattice parameters (Å, degrees): 8.9604 16.2688 5.7647 90.00 90.00 90.00
Space group Cmmm (No. 65)
Unique sites:
Pr (0.0000, 0.0000, 0.0000) [2 per cell]
Nd (0.0000, 0.2280, 0.0000) [4 per cell]
Nd (0.0000, 0.5000, 0.5000) [2 per cell]
Nd (0.1794, 0.1160, 0.5000) [8 per cell]
Dy (0.0000, 0.2960, 0.5000) [4 per cell]

Energy relative to the lowest polymorph listed for this composition: 0.6162 eV/atom
Formation energy from the elements: 0.63 eV/atom

Entry 7:
# Rb3UAg2Cl9

A geometry-optimized Rb3UAg2Cl9 structure (PBE, the Alexandria database).

Lattice parameters (Å, degrees): 7.6135 7.6135 9.6118 90.00 90.00 120.00
Space group P-3m1 (No. 164)
Unique sites:
Rb (0.0000, 0.0000, 0.0000) [1 per cell]
Rb (0.3333, 0.6667, 0.7400) [2 per cell]
U (0.0000, 0.0000, 0.5000) [1 per cell]
Ag (0.3333, 0.6667, 0.1513) [2 per cell]
Cl (0.0000, 0.5000, 0.0000) [3 per cell]
Cl (0.1615, 0.3230, 0.3395) [6 per cell]

ΔE_f (raw): -1.484 eV per atom

Entry 8:
# TaCdTe

A geometry-optimized TaCdTe structure (PBE, the Alexandria database).

Lattice parameters (Å, degrees): 3.4203 3.4203 11.9294 90.00 90.00 90.00
Space group I4mm (No. 107)
Unique sites:
Ta (0.0000, 0.0000, 0.0000) [2 per cell]
Cd (0.0000, 0.0000, 0.3423) [2 per cell]
Te (0.0000, 0.0000, 0.6228) [2 per cell]

Energy relative to the lowest polymorph listed for this composition: 0.0372 eV/atom
ΔE_f (raw): 0.197 eV per atom